Entry 1:
{
  "formula": "TbAgPd",
  "functional": "PBE",
  "state": "optimized geometry",
  "lattice": [[1.832, -7.301, 0.000], [1.832, 7.301, 0.000], [0.000, 0.000, 4.617]],
  "species": ["Tb", "Tb", "Ag", "Ag", "Pd", "Pd"],
  "fractional_positions": [[0.092, 0.908, 0.750], [0.908, 0.092, 0.250], [0.234, 0.766, 0.250], [0.766, 0.234, 0.750], [0.429, 0.571, 0.750], [0.571, 0.429, 0.250]],
  "spacegroup": "Cmcm (63)",
  "de_polymorph_kj_per_mol_atoms": 0.0,
  "crystal_system": "orthorhombic",
  "n_ef_per_ev_cell": 3.07,
  "ef_ev_per_atom": -0.585
}


Entry 2:
{
  "formula": "Tb6AgPd2",
  "functional": "PBE",
  "state": "optimized geometry",
  "lattice": [[-4.761, 4.856, 5.152], [4.761, -4.856, 5.152], [4.761, 4.856, -5.152]],
  "species": ["Tb", "Tb", "Tb", "Tb", "Tb", "Tb", "Tb", "Tb", "Tb", "Tb", "Tb", "Tb", "Ag", "Ag", "Pd", "Pd", "Pd", "Pd"],
  "fractional_positions": [[0.050, 0.241, 0.809], [0.179, 0.283, 0.462], [0.179, 0.717, 0.897], [0.328, 0.028, 0.700], [0.328, 0.627, 0.300], [0.432, 0.241, 0.191], [0.568, 0.759, 0.809], [0.672, 0.373, 0.700], [0.672, 0.972, 0.300], [0.821, 0.283, 0.103], [0.821, 0.717, 0.538], [0.950, 0.759, 0.191], [0.000, 0.000, 0.000], [0.500, 0.500, 0.000], [0.132, 0.632, 0.500], [0.343, 0.000, 0.343], [0.657, 0.000, 0.657], [0.868, 0.368, 0.500]],
  "spacegroup": "Immm (71)",
  "crystal_system": "orthorhombic",
  "n_ef_per_ev_cell": 19.11,
  "ef_ev_per_atom": -0.462
}


Entry 3:
{
  "formula": "TbAgPd",
  "functional": "PBE",
  "state": "optimized geometry",
  "lattice": [[4.643, -1.910, 0.000], [4.643, 1.910, 0.000], [-0.063, 0.000, 7.394]],
  "species": ["Tb", "Tb", "Ag", "Ag", "Pd", "Pd"],
  "fractional_positions": [[0.057, 0.057, 0.228], [0.943, 0.943, 0.772], [0.353, 0.353, 0.444], [0.647, 0.647, 0.556], [0.353, 0.353, 0.049], [0.647, 0.647, 0.951]],
  "spacegroup": "C2/m (12)",
  "de_polymorph_kj_per_mol_atoms": 5.4,
  "crystal_system": "monoclinic",
  "n_ef_per_ev_cell": 3.37,
  "ef_ev_per_atom": -0.529
}


Entry 4:
{
  "formula": "TbAg4Pd",
  "functional": "PBE",
  "state": "optimized geometry",
  "lattice": [[0.000, 3.876, 3.876], [3.876, 0.000, 3.876], [3.876, 3.876, 0.000]],
  "species": ["Tb", "Ag", "Ag", "Ag", "Ag", "Pd"],
  "fractional_positions": [[0.000, 0.000, 0.000], [0.126, 0.625, 0.625], [0.625, 0.126, 0.625], [0.625, 0.625, 0.126], [0.625, 0.625, 0.625], [0.250, 0.250, 0.250]],
  "spacegroup": "F-43m (216)",
  "crystal_system": "cubic",
  "n_ef_per_ev_cell": 4.55,
  "ef_ev_per_atom": -0.200
}


Entry 5:
{
  "formula": "Tb5AgPd2",
  "functional": "PBE",
  "state": "optimized geometry",
  "lattice": [[-3.947, 3.947, 6.589], [3.947, -3.947, 6.589], [3.947, 3.947, -6.589]],
  "species": ["Tb", "Tb", "Tb", "Tb", "Tb", "Tb", "Tb", "Tb", "Tb", "Tb", "Ag", "Ag", "Pd", "Pd", "Pd", "Pd"],
  "fractional_positions": [[0.000, 0.000, 0.000], [0.019, 0.519, 0.821], [0.198, 0.019, 0.500], [0.302, 0.802, 0.821], [0.481, 0.302, 0.500], [0.500, 0.500, 0.000], [0.519, 0.698, 0.500], [0.698, 0.198, 0.179], [0.802, 0.981, 0.500], [0.981, 0.481, 0.179], [0.250, 0.250, 0.000], [0.750, 0.750, 0.000], [0.132, 0.368, 0.500], [0.368, 0.868, 0.235], [0.632, 0.132, 0.765], [0.868, 0.632, 0.500]],
  "spacegroup": "I4/mcm (140)",
  "crystal_system": "tetragonal",
  "n_ef_per_ev_cell": 16.32,
  "ef_ev_per_atom": -0.517
}


Entry 6:
{
  "formula": "Tb2Ag2Pd3",
  "functional": "PBE",
  "state": "optimized geometry",
  "lattice": [[4.308, 0.000, 0.000], [2.150, 4.839, 0.000], [0.018, 2.089, 6.787]],
  "species": ["Tb", "Tb", "Ag", "Ag", "Pd", "Pd", "Pd"],
  "fractional_positions": [[0.126, 0.249, 0.284], [0.874, 0.751, 0.716], [0.377, 0.749, 0.068], [0.623, 0.251, 0.932], [0.167, 0.165, 0.699], [0.500, 0.500, 0.500], [0.833, 0.835, 0.301]],
  "spacegroup": "P-1 (2)",
  "de_polymorph_kj_per_mol_atoms": 0.7,
  "crystal_system": "triclinic",
  "n_ef_per_ev_cell": 2.98,
  "ef_ev_per_atom": -0.614
}